DFT (GGA-PBE) results for a relaxed BaPtSe crystal.

The structure belongs to space group P2_1/m (No. 11); the cell edges are 4.585, 7.953 and 5.162 Å and the angles 90.00°, 90.04° and 90.00°. The asymmetric unit holds Ba at (0.001, 0.250, 0.237), Pt at (0.500, 0.000, 0.000) and Se at (0.499, 0.750, 0.278).

Its formation energy without anion corrections is -1174 meV/atom. For the density, the calculation gives 7.3 Mg/m³. Its density of states at the Fermi level is 0.00 states/eV per atom. The value obtained for the total magnetic moment is 0.0 μB per formula unit. Its total energy is -29.942 eV/cell.